## MnS2ClO (PBEsol)

Data for crystalline MnS2ClO at its relaxed geometry.

The space group is P4/mmm (No. 123) and the conventional cell measures 3.815, 3.815 and 5.528 Å, with angles of 90.00, 90.00 and 90.00 degrees. The distinct sites, in fractional coordinates, are Mn at (0.000, 0.000, 0.000), S at (0.000, 0.500, 0.500), Cl at (0.500, 0.500, 0.000) and O at (0.500, 0.500, 0.500).

Its density of states at the Fermi level is 1.1 states/eV per cell. The value obtained for the total energy is -24.2 eV for the cell shown.